Material: CuGe3S
Method: DFT, SCAN
State: single point on PBEsol structure

Calculated values
- Energy relative to the elements, uncorrected: 0.523 eV per atom
- Crystal system: cubic

a b c (Å): 4.6056 4.6056 4.6056
angles (deg): 90.00 90.00 90.00
Atoms (fractional coordinates):
Cu (0.0000, 0.0000, 0.0000)
Ge (0.0000, 0.0000, 0.5000)
Ge (0.0000, 0.5000, 0.0000)
Ge (0.5000, 0.0000, 0.0000)
S (0.5000, 0.5000, 0.5000)

Material: BiMo2H
Method: DFT, SCAN
State: single point on PBEsol structure

Calculated values
- Crystal system: cubic
- E_tot: -36.577 eV/atom

a b c (Å): 4.4554 4.4554 4.4554
angles (deg): 60.00 60.00 60.00
Atoms (fractional coordinates):
H (0.0000, 0.0000, 0.0000)
Mo (0.2500, 0.2500, 0.2500)
Mo (0.7500, 0.7500, 0.7500)
Bi (0.5000, 0.5000, 0.5000)

Material: Al3PdO
Method: DFT, SCAN
State: single point on PBEsol structure

Calculated values
- Energy relative to the elements, uncorrected: 0.021 eV per atom
- Crystal system: cubic

a b c (Å): 4.6161 4.6161 4.6161
angles (deg): 90.00 90.00 90.00
Last column: magnetic moment on the atom in μB.
Atoms (fractional coordinates):
Al (0.5000, 0.0000, 0.0000)  0.03
Al (0.0000, 0.0000, 0.5000)  0.03
Al (0.0000, 0.5000, 0.0000)  0.03
O (0.5000, 0.5000, 0.5000)  0.67
Pd (0.0000, 0.0000, 0.0000)  0.07

Material: AgSeBrO2
Method: DFT, SCAN
State: single point on PBEsol structure

Calculated values
- Energy relative to the elements, uncorrected: 0.499 eV per atom
- Crystal system: tetragonal

a b c (Å): 3.7983 3.7983 5.6738
angles (deg): 90.00 90.00 90.00
Atoms (fractional coordinates):
Br (0.0000, 0.0000, 0.0000)
O (0.0000, 0.5000, 0.0000)
O (0.5000, 0.0000, 0.0000)
Se (0.0000, 0.0000, 0.5000)
Ag (0.5000, 0.5000, 0.5000)

Material: SrScCl2
Method: DFT, SCAN
State: single point on PBEsol structure

Calculated values
- Energy relative to the elements, uncorrected: -1.136 eV per atom
- Crystal system: tetragonal

a b c (Å): 3.4253 4.8669 4.8669
angles (deg): 90.00 90.00 90.00
Last column: magnetic moment on the atom in μB.
Atoms (fractional coordinates):
Sr (0.5000, 0.0000, 0.0000)  0.10
Sc (0.5000, 0.5000, 0.5000)  0.68
Cl (0.0000, 0.0000, 0.5000)  0.00
Cl (0.0000, 0.5000, 0.0000)  0.00

Material: ReTeRh
Method: DFT, SCAN
State: single point on PBEsol structure

Calculated values
- Energy relative to the elements, uncorrected: 0.550 eV per atom
- Crystal system: cubic

a b c (Å): 4.2554 4.2554 4.2554
angles (deg): 60.00 60.00 60.00
Atoms (fractional coordinates):
Te (0.2500, 0.2500, 0.2500)
Re (0.0000, 0.0000, 0.0000)
Rh (0.5000, 0.5000, 0.5000)

Material: TiBe2Tc2
Method: DFT, SCAN
State: single point on PBEsol structure

Calculated values
- Crystal system: tetragonal
- ΔE_f: -263 kJ/mol of formula units

a b c (Å): 3.1328 6.0592 6.0592
angles (deg): 90.00 90.00 90.00
Atoms (fractional coordinates):
Ti (0.0000, 0.5000, 0.5000)
Ti (0.0000, 0.0000, 0.0000)
Tc (0.5000, 0.6762, 0.8238)
Tc (0.5000, 0.3238, 0.1762)
Tc (0.5000, 0.8238, 0.3238)
Tc (0.5000, 0.1762, 0.6762)
Be (0.0000, 0.1170, 0.3830)
Be (0.0000, 0.3830, 0.8830)
Be (0.0000, 0.8830, 0.6170)
Be (0.0000, 0.6170, 0.1170)

Material: TaCuH2
Method: DFT, SCAN
State: single point on PBEsol structure

Calculated values
- Crystal system: cubic
- E_tot: -21.802 eV/atom

a b c (Å): 3.6263 3.6263 3.6263
angles (deg): 60.00 60.00 60.00
Atoms (fractional coordinates):
H (0.7500, 0.7500, 0.7500)
H (0.2500, 0.2500, 0.2500)
Cu (0.0000, 0.0000, 0.0000)
Ta (0.5000, 0.5000, 0.5000)

Material: SrSc2Cl
Method: DFT, SCAN
State: single point on PBEsol structure

Calculated values
- Energy relative to the elements, uncorrected: 0.216 eV per atom
- Crystal system: tetragonal

a b c (Å): 3.5557 5.4955 5.4955
angles (deg): 90.00 90.00 90.00
Atoms (fractional coordinates):
Cl (0.5000, 0.0000, 0.0000)
Sc (0.0000, 0.0000, 0.5000)
Sc (0.0000, 0.5000, 0.0000)
Sr (0.5000, 0.5000, 0.5000)

Material: MnCu2Ag
Method: DFT, SCAN
State: single point on PBEsol structure

Calculated values
- Crystal system: cubic
- ΔE_f: 8 kJ/mol of formula units

a b c (Å): 4.2163 4.2163 4.2163
angles (deg): 60.00 60.00 60.00
Last column: magnetic moment on the atom in μB.
Atoms (fractional coordinates):
Cu (0.2500, 0.2500, 0.2500)  0.08
Cu (0.7500, 0.7500, 0.7500)  0.08
Ag (0.0000, 0.0000, 0.0000)  -0.03
Mn (0.5000, 0.5000, 0.5000)  4.03

Material: K4CaW
Method: DFT, SCAN
State: single point on PBEsol structure

Calculated values
- Crystal system: cubic
- ΔE_f: 738 kJ/mol of formula units

a b c (Å): 7.1669 7.1669 7.1669
angles (deg): 60.00 60.00 60.00
Last column: magnetic moment on the atom in μB.
Atoms (fractional coordinates):
Ca (0.0000, 0.0000, 0.0000)  -0.01
K (0.8693, 0.3769, 0.3769)  0.00
K (0.3769, 0.3769, 0.3769)  0.00
K (0.3769, 0.8693, 0.3769)  0.00
K (0.3769, 0.3769, 0.8693)  0.00
W (0.7500, 0.7500, 0.7500)  3.29

Material: BaSr2Br
Method: DFT, SCAN
State: single point on PBEsol structure

Calculated values
- Energy relative to the elements, uncorrected: -0.258 eV per atom
- Crystal system: cubic

a b c (Å): 6.3934 6.3934 6.3934
angles (deg): 60.00 60.00 60.00
Last column: magnetic moment on the atom in μB.
Atoms (fractional coordinates):
Sr (0.7500, 0.7500, 0.7500)  0.07
Sr (0.0000, 0.0000, 0.0000)  0.05
Br (0.2500, 0.2500, 0.2500)  0.02
Ba (0.5000, 0.5000, 0.5000)  0.16

Material: NiAgBr2
Method: DFT, SCAN
State: single point on PBEsol structure

Calculated values
- Energy relative to the elements, uncorrected: 0.214 eV per atom
- Crystal system: tetragonal

a b c (Å): 3.3512 4.7482 4.7482
angles (deg): 90.00 90.00 90.00
Last column: magnetic moment on the atom in μB.
Atoms (fractional coordinates):
Ag (0.5000, 0.0000, 0.0000)  -0.01
Ni (0.5000, 0.5000, 0.5000)  0.99
Br (0.0000, 0.5000, 0.0000)  0.02
Br (0.0000, 0.0000, 0.5000)  0.02

Material: BeZnFeBi2
Method: DFT, SCAN
State: single point on PBEsol structure

Calculated values
- Crystal system: tetragonal
- ΔE_f: 321 kJ/mol of formula units

a b c (Å): 4.1912 4.9804 4.9804
angles (deg): 90.00 90.00 90.00
Last column: magnetic moment on the atom in μB.
Atoms (fractional coordinates):
Zn (0.5000, 0.5000, 0.5000)  0.00
Bi (0.0000, 0.0000, 0.5000)  0.01
Bi (0.0000, 0.5000, 0.0000)  0.01
Fe (0.0000, 0.0000, 0.0000)  1.78
Be (0.5000, 0.0000, 0.0000)  -0.10

Material: K2Sb
Method: DFT, SCAN
State: single point on PBEsol structure

Calculated values
- Energy relative to the elements, uncorrected: -0.460 eV per atom
- Crystal system: trigonal

a b c (Å): 3.4947 5.6679 5.6679
angles (deg): 120.00 90.00 90.00
Atoms (fractional coordinates):
K (0.5040, 0.3333, 0.6667)
K (0.4960, 0.6667, 0.3333)
Sb (0.0000, 0.0000, 0.0000)

Material: CdHg2Pb
Method: DFT, SCAN
State: single point on PBEsol structure

Calculated values
- Crystal system: orthorhombic
- ΔE_f: 22 kJ/mol of formula units

a b c (Å): 3.3919 4.5055 6.3431
angles (deg): 90.00 90.00 90.00
Atoms (fractional coordinates):
Cd (0.5000, 0.5000, 0.7646)
Hg (0.0000, 0.0000, 0.9968)
Hg (0.5000, 0.5000, 0.2381)
Pb (0.0000, 0.0000, 0.5005)

Material: K2OsAu
Method: DFT, SCAN
State: single point on PBEsol structure

Calculated values
- Crystal system: tetragonal
- ΔE_f: 330 kJ/mol of formula units

a b c (Å): 2.6237 6.1633 6.1633
angles (deg): 90.00 90.00 90.00
Last column: magnetic moment on the atom in μB.
Atoms (fractional coordinates):
Os (0.5000, 0.5000, 0.5000)  0.70
Au (0.5000, 0.0000, 0.0000)  0.00
K (0.0000, 0.5000, 0.0000)  0.00
K (0.0000, 0.0000, 0.5000)  0.00

Material: LaInBr2
Method: DFT, SCAN
State: single point on PBEsol structure

Calculated values
- Energy relative to the elements, uncorrected: -1.172 eV per atom
- Crystal system: orthorhombic

a b c (Å): 3.9221 4.7051 6.7558
angles (deg): 110.39 106.87 90.00
Atoms (fractional coordinates):
La (0.2774, 0.7769, 0.5548)
Br (0.7374, 0.2370, 0.4747)
Br (0.9705, 0.9709, 0.9409)
In (0.5148, 0.5152, 0.0296)

Material: Co2MoP
Method: DFT, SCAN
State: single point on PBEsol structure

Calculated values
- Crystal system: cubic
- ΔE_f: 21 kJ/mol of formula units

a b c (Å): 4.0043 4.0043 4.0043
angles (deg): 60.00 60.00 60.00
Atoms (fractional coordinates):
Co (0.0000, 0.0000, 0.0000)
Co (0.7500, 0.7500, 0.7500)
Mo (0.5000, 0.5000, 0.5000)
P (0.2500, 0.2500, 0.2500)

Material: ScTiRe2
Method: DFT, SCAN
State: single point on PBEsol structure

Calculated values
- Crystal system: cubic
- ΔE_f: -58 kJ/mol of formula units

a b c (Å): 4.4390 4.4390 4.4390
angles (deg): 60.00 60.00 60.00
Atoms (fractional coordinates):
Sc (0.0000, 0.0000, 0.0000)
Ti (0.5000, 0.5000, 0.5000)
Re (0.2500, 0.2500, 0.2500)
Re (0.7500, 0.7500, 0.7500)

Spin magnetization in μB/cell, matching the order above: 0.00 0.00 0.96 0.00 1.21 0.00 0.00 0.00 0.00 4.09 5.11 1.22 1.02 1.67 0.00 0.00 0.85 0.00 0.00 0.00
Volume in Å³ per cell, matching the order above: 97.7 62.5 98.4 81.9 81.1 54.5 115.0 33.7 107.4 53.0 260.3 184.8 75.6 104.0 97.2 96.9 99.7 111.1 45.4 61.8